[1]
This record from Alexandria via LeMat-Bulk describes a relaxed La3Mg crystal. The functional is PBE.

Cell: 7.3389 7.3389 5.7413 Å, 90.00 90.00 120.00°
Space group P6_3/mmc (No. 194)
Asymmetric unit:
La 0.1752 0.3504 0.2500 [6 per cell]
Mg 0.3333 0.6667 0.7500 [2 per cell]

Energy: -32.839 eV/cell



[2]
This record from Alexandria via LeMat-Bulk describes a relaxed KNaAgH2 crystal. The functional is PBE.

Cell: 6.952 13.181 5.441 Å, 90.00 90.00 90.00°
Space group Cmme (No. 67)
Asymmetric unit:
K 0.000 0.250 0.189 [4 per cell]
Na 0.250 0.000 0.500 [4 per cell]
Ag 0.000 0.000 0.000 [4 per cell]
H 0.000 0.060 0.724 [8 per cell]

Energy: -47.172 eV/cell



[3]
This record from Alexandria via LeMat-Bulk describes a relaxed Be2AgAu6 crystal. The functional is PBE.

Cell: 13.792 8.071 5.290 Å, 90.00 99.15 90.00°
Space group C2/c (No. 15)
Asymmetric unit:
Be 0.248 0.004 0.491 [8 per cell]
Ag 0.000 0.262 0.250 [4 per cell]
Au 0.099 0.067 0.688 [8 per cell]
Au 0.102 0.418 0.729 [8 per cell]
Au 0.200 0.255 0.228 [8 per cell]

Energy relative to the lowest polymorph listed for this composition: 0 meV/atom
Energy: -122.183 eV/cell



[4]
This record from Alexandria via LeMat-Bulk describes a relaxed NaLaSi2Os crystal. The functional is PBE.

Cell: 4.623 4.623 5.098 Å, 90.00 90.00 90.00°
Space group P4/mmm (No. 123)
Asymmetric unit:
Na 0.000 0.000 0.000 [1 per cell]
La 0.500 0.500 0.000 [1 per cell]
Si 0.000 0.500 0.500 [2 per cell]
Os 0.000 0.000 0.500 [1 per cell]

Energy: -28.330 eV/cell



[5]
This record from Alexandria via LeMat-Bulk describes a relaxed PrMoC crystal. The functional is PBE.

Cell: 3.6308 3.6308 4.7454 Å, 90.00 90.00 120.00°
Space group P-6m2 (No. 187)
Asymmetric unit:
Pr 0.0000 0.0000 0.0000 [1 per cell]
Mo 0.3333 0.6667 0.5000 [1 per cell]
C 0.6667 0.3333 0.5000 [1 per cell]

Energy relative to the lowest polymorph listed for this composition: 198 meV/atom
Energy: -23.830 eV/cell



[6]
This record from Alexandria via LeMat-Bulk describes a relaxed CaNi2Cl crystal. The functional is PBE.

Cell: 5.194 5.339 5.475 Å, 90.00 90.00 90.00°
Space group Cmmm (No. 65)
Asymmetric unit:
Ca 0.000 0.000 0.000 [2 per cell]
Ni 0.000 0.217 0.500 [4 per cell]
Cl 0.000 0.500 0.000 [2 per cell]

Energy relative to the lowest polymorph listed for this composition: 215 meV/atom
Energy: -32.330 eV/cell



[7]
This record from Alexandria via LeMat-Bulk describes a relaxed CuTcI2 crystal. The functional is PBE.

Cell: 6.189 6.189 11.407 Å, 90.00 90.00 90.00°
Space group I-42d (No. 122)
Asymmetric unit:
Cu 0.000 0.000 0.000 [4 per cell]
Tc 0.000 0.000 0.500 [4 per cell]
I 0.248 0.250 0.125 [8 per cell]

Energy relative to the lowest polymorph listed for this composition: 0 meV/atom
Energy: -59.459 eV/cell



[8]
This record from Alexandria via LeMat-Bulk describes a relaxed AlTlRu2 crystal. The functional is PBE.

Cell: 6.327 6.327 6.327 Å, 90.00 90.00 90.00°
Space group Fm-3m (No. 225)
Asymmetric unit:
Al 0.000 0.000 0.000 [4 per cell]
Tl 0.000 0.000 0.500 [4 per cell]
Ru 0.250 0.250 0.250 [8 per cell]

Energy relative to the lowest polymorph listed for this composition: 79 meV/atom
Energy: -96.715 eV/cell



[9]
This record from Alexandria via LeMat-Bulk describes a relaxed K3RbAu crystal. The functional is PBE.

Cell: 5.4620 5.4620 27.6081 Å, 90.00 90.00 120.00°
Space group P6_3/mmc (No. 194)
Asymmetric unit:
K 0.0000 0.0000 0.2500 [2 per cell]
K 0.3333 0.6667 0.1282 [4 per cell]
Rb 0.0000 0.0000 0.0000 [2 per cell]
Au 0.3333 0.6667 0.2500 [2 per cell]

Energy relative to the lowest polymorph listed for this composition: 93 meV/atom
Energy: -15.476 eV/cell



[10]
This record from Alexandria via LeMat-Bulk describes a relaxed YTlN2 crystal. The functional is PBE.

Cell: 6.089 6.089 6.089 Å, 90.00 90.00 90.00°
Space group Fm-3m (No. 225)
Asymmetric unit:
Y 0.000 0.000 0.000 [4 per cell]
Tl 0.000 0.000 0.500 [4 per cell]
N 0.250 0.250 0.250 [8 per cell]

Energy relative to the lowest polymorph listed for this composition: 620 meV/atom
Energy: -96.205 eV/cell



[11]
This record from Alexandria via LeMat-Bulk describes a relaxed AlGe2Pb3O9 crystal. The functional is PBE.

Cell: 5.4740 5.4740 6.6993 Å, 90.00 90.00 120.00°
Space group P-3m1 (No. 164)
Asymmetric unit:
Al 0.0000 0.0000 0.0000 [1 per cell]
Ge 0.3333 0.6667 0.6745 [2 per cell]
Pb 0.0000 0.0000 0.5000 [1 per cell]
Pb 0.3333 0.6667 0.1666 [2 per cell]
O 0.0000 0.5000 0.5000 [3 per cell]
O 0.1671 0.3342 0.8327 [6 per cell]

Energy: -90.772 eV/cell